## BiI3Br (PBE-GGA)

Data for a relaxed BiI3Br crystal.

Properties
Formation energy (no corrections), meV/atom: 4
ΔE to the lowest computed polymorph, meV/atom: 377.2

Cell lengths 6.1384, 6.1384, 6.1384 Å; angles 90.00, 90.00, 90.00 degrees
Space group Pm-3m (No. 221)
Unique sites:
Bi 0.0000 0.0000 0.0000 (multiplicity 1)
I 0.0000 0.0000 0.5000 (multiplicity 3)
Br 0.5000 0.5000 0.5000 (multiplicity 1)



## CaSiSn2 (PBE-GGA)

Data for a relaxed CaSiSn2 crystal.

Properties
Formation energy (no corrections), meV/atom: -170

Cell lengths 4.5664, 4.5664, 4.5968 Å; angles 90.00, 90.00, 90.00 degrees
Space group P4/mmm (No. 123)
Unique sites:
Ca 0.0000 0.0000 0.0000 (multiplicity 1)
Si 0.5000 0.5000 0.0000 (multiplicity 1)
Sn 0.0000 0.5000 0.5000 (multiplicity 2)



## Tb3Pm12Hg (PBE-GGA)

Data for a relaxed Tb3Pm12Hg crystal.

Properties
E_form, kJ per mole of atoms: -2.1

Cell lengths 5.0544, 5.0544, 20.5372 Å; angles 90.00, 90.00, 90.00 degrees
Space group P4/mmm (No. 123)
Unique sites:
Tb 0.0000 0.0000 0.0000 (multiplicity 1)
Tb 0.0000 0.0000 0.2531 (multiplicity 2)
Pm 0.0000 0.5000 0.1267 (multiplicity 4)
Pm 0.0000 0.5000 0.3795 (multiplicity 4)
Pm 0.5000 0.5000 0.0000 (multiplicity 1)
Pm 0.5000 0.5000 0.2556 (multiplicity 2)
Pm 0.5000 0.5000 0.5000 (multiplicity 1)
Hg 0.0000 0.0000 0.5000 (multiplicity 1)



## Ti3VPd (PBE-GGA)

Data for a relaxed Ti3VPd crystal.

Properties
ΔE to the lowest computed polymorph, meV/atom: 783.8
E_form, kJ per mole of atoms: 56.5

Cell lengths 4.4904, 4.4904, 4.4904 Å; angles 90.00, 90.00, 90.00 degrees
Space group Pm-3m (No. 221)
Unique sites:
Ti 0.0000 0.0000 0.5000 (multiplicity 3)
V 0.0000 0.0000 0.0000 (multiplicity 1)
Pd 0.5000 0.5000 0.5000 (multiplicity 1)



## KSi (PBE-GGA)

Data for a relaxed KSi crystal.

Properties
Formation energy (no corrections), meV/atom: 1171
ΔE to the lowest computed polymorph, meV/atom: 1243.5

Cell lengths 6.7699, 6.7699, 6.7699 Å; angles 90.00, 90.00, 90.00 degrees
Space group Fm-3m (No. 225)
Unique sites:
K 0.0000 0.0000 0.0000 (multiplicity 4)
Si 0.0000 0.0000 0.5000 (multiplicity 4)



## CeSmDy2Ho4 (PBE-GGA)

Data for a relaxed CeSmDy2Ho4 crystal.

Properties
E_form, kJ per mole of atoms: 4.3

Cell lengths 5.0116, 5.0252, 9.9744 Å; angles 90.00, 90.00, 90.00 degrees
Space group Pmmm (No. 47)
Unique sites:
Ce 0.0000 0.0000 0.0000 (multiplicity 1)
Sm 0.5000 0.5000 0.5000 (multiplicity 1)
Dy 0.0000 0.0000 0.5000 (multiplicity 1)
Dy 0.5000 0.5000 0.0000 (multiplicity 1)
Ho 0.0000 0.5000 0.2474 (multiplicity 2)
Ho 0.5000 0.0000 0.2476 (multiplicity 2)



## Li2Ga2Os (PBE-GGA)

Data for a relaxed Li2Ga2Os crystal.

Properties
E_form, kJ per mole of atoms: 2.2

Cell lengths 6.9706, 6.9706, 2.7968 Å; angles 90.00, 90.00, 90.00 degrees
Space group P4/mbm (No. 127)
Unique sites:
Li 0.1589 0.3411 0.0000 (multiplicity 4)
Ga 0.1427 0.6427 0.5000 (multiplicity 4)
Os 0.0000 0.0000 0.5000 (multiplicity 2)



## Gd5Si4 (PBE-GGA)

Data for a relaxed Gd5Si4 crystal.

Properties
Formation energy (no corrections), meV/atom: -732

Cell lengths 7.5487, 7.7478, 14.7768 Å; angles 89.99, 89.94, 89.97 degrees
Space group P1 (No. 1)
Unique sites:
Gd 0.0000 0.0000 0.0000 (multiplicity 1)
Gd 0.0001 0.0001 0.7446 (multiplicity 1)
Gd 0.0432 0.8305 0.3729 (multiplicity 1)
Gd 0.1522 0.5048 0.0232 (multiplicity 1)
Gd 0.1527 0.5041 0.7218 (multiplicity 1)
Gd 0.2196 0.1365 0.5231 (multiplicity 1)
Gd 0.2206 0.1365 0.2219 (multiplicity 1)
Gd 0.3284 0.8113 0.8724 (multiplicity 1)
Gd 0.3731 0.6406 0.2440 (multiplicity 1)
Gd 0.3725 0.6408 0.4998 (multiplicity 1)
Gd 0.4990 0.1409 0.7438 (multiplicity 1)
Gd 0.5001 0.1407 0.9997 (multiplicity 1)
Gd 0.5434 0.3106 0.3727 (multiplicity 1)
Gd 0.6519 0.6359 0.0228 (multiplicity 1)
Gd 0.6525 0.6364 0.7220 (multiplicity 1)
Gd 0.7199 0.0046 0.5228 (multiplicity 1)
Gd 0.7206 0.0047 0.2222 (multiplicity 1)
Gd 0.8291 0.3295 0.8722 (multiplicity 1)
Gd 0.8730 0.4999 0.4997 (multiplicity 1)
Gd 0.8733 0.5006 0.2439 (multiplicity 1)
Si 0.0452 0.7932 0.5818 (multiplicity 1)
Si 0.0468 0.7948 0.1634 (multiplicity 1)
Si 0.1683 0.4229 0.3724 (multiplicity 1)
Si 0.2052 0.2190 0.8723 (multiplicity 1)
Si 0.3267 0.8473 0.0813 (multiplicity 1)
Si 0.3271 0.8467 0.6631 (multiplicity 1)
Si 0.4278 0.9456 0.3719 (multiplicity 1)
Si 0.4440 0.4454 0.8721 (multiplicity 1)
Si 0.5467 0.3465 0.1631 (multiplicity 1)
Si 0.5465 0.3477 0.5813 (multiplicity 1)
Si 0.6680 0.7178 0.3723 (multiplicity 1)
Si 0.7046 0.9226 0.8726 (multiplicity 1)
Si 0.8263 0.2931 0.0814 (multiplicity 1)
Si 0.8266 0.2936 0.6633 (multiplicity 1)
Si 0.9281 0.1955 0.3719 (multiplicity 1)
Si 0.9441 0.6952 0.8722 (multiplicity 1)



## KAg2PtF8 (PBE-GGA)

Data for a relaxed KAg2PtF8 crystal.

Properties
Formation energy (no corrections), meV/atom: -1527

Cell lengths 4.7427, 5.4459, 7.5045 Å; angles 91.91, 90.91, 95.56 degrees
Space group P-1 (No. 2)
Unique sites:
K 0.0000 0.0000 0.0000 (multiplicity 1)
Ag 0.4671 0.4932 0.7575 (multiplicity 2)
Pt 0.0000 0.0000 0.5000 (multiplicity 1)
F 0.1186 0.7789 0.3064 (multiplicity 2)
F 0.1372 0.7914 0.6875 (multiplicity 2)
F 0.3479 0.2356 0.5035 (multiplicity 2)
F 0.4888 0.2662 0.0006 (multiplicity 2)



## ScSbAu2 (PBE-GGA)

Data for a relaxed ScSbAu2 crystal.

Properties
Formation energy (no corrections), meV/atom: -399

Cell lengths 4.2033, 4.2252, 9.3247 Å; angles 90.00, 90.00, 90.00 degrees
Space group Imm2 (No. 44)
Unique sites:
Sc 0.0000 0.0000 0.0000 (multiplicity 2)
Sb 0.0000 0.5000 0.2501 (multiplicity 2)
Au 0.0000 0.0000 0.5013 (multiplicity 2)
Au 0.0000 0.5000 0.7505 (multiplicity 2)



## TiCoSb (PBE-GGA)

Data for a relaxed TiCoSb crystal.

Properties
Formation energy (no corrections), meV/atom: 150

Cell lengths 5.3268, 5.3268, 9.1690 Å; angles 90.00, 90.00, 90.00 degrees
Space group P4_122 (No. 91)
Unique sites:
Ti 0.0000 0.2294 0.0000 (multiplicity 4)
Co 0.1403 0.1403 0.3750 (multiplicity 4)
Sb 0.0953 0.5000 0.7500 (multiplicity 4)



## Nd2Tl2TeO6 (PBE-GGA)

Data for a relaxed Nd2Tl2TeO6 crystal.

Properties
Formation energy (no corrections), meV/atom: -1845

Cell lengths 6.2126, 10.6868, 6.8359 Å; angles 90.00, 106.50, 90.00 degrees
Space group C2/m (No. 12)
Unique sites:
Nd 0.0000 0.1656 0.0000 (multiplicity 4)
Tl 0.0000 0.3367 0.5000 (multiplicity 4)
Te 0.0000 0.5000 0.0000 (multiplicity 2)
O 0.2085 0.3416 0.1681 (multiplicity 8)
O 0.2473 0.0000 0.1745 (multiplicity 4)